Compound: Li4V3O4F8
Source: the Alexandria database
Functional: PBE+U
Structure: relaxed

a = 5.644 Å, b = 5.759 Å, c = 6.611 Å
α = 97.73°, β = 99.79°, γ = 95.11°
Positions (direct):
1 F 0.682 0.059 0.857
2 F 0.171 0.594 0.382
3 F 0.822 0.376 0.573
4 F 0.612 0.846 0.470
5 F 0.935 0.670 0.003
6 F 0.077 0.888 0.719
7 F 0.408 0.582 0.843
8 F 0.381 0.191 0.529
9 V 0.599 0.131 0.332
10 V 0.005 0.011 0.992
11 V 0.310 0.588 0.128
12 O 0.118 0.295 0.990
13 O 0.543 0.425 0.213
14 O 0.859 0.068 0.241
15 O 0.333 0.927 0.140
16 Li 0.878 0.684 0.467
17 Li 0.694 0.400 0.833
18 Li 0.407 0.879 0.678
19 Li 0.166 0.387 0.609

Properties
SG = P1
E_tot = -0.2198 hartree per atom
Volume = 10.97 Å³/atom